[1]
The following is a PBE calculation of an optimized crystal structure of RbHoScTe3, from Alexandria via LeMat-Bulk.

## Properties
N(E_F): 0.46 states/eV/atom
Space-group type: P2_1/m, No. 11
Total magnetization: 0.54 μB/cell

Cell lengths 9.901, 4.576, 10.867 Å; angles 90.00, 109.13, 90.00 degrees
Element x y z (fractional)
Rb 0.209 0.250 0.236
Rb 0.791 0.750 0.764
Ho 0.338 0.750 0.866
Ho 0.662 0.250 0.134
Sc 0.084 0.250 0.608
Sc 0.916 0.750 0.392
Te 0.121 0.250 0.873
Te 0.219 0.750 0.548
Te 0.464 0.750 0.160
Te 0.536 0.250 0.840
Te 0.781 0.250 0.452
Te 0.879 0.750 0.127


[2]
The following is a PBE calculation of an optimized crystal structure of Rb4Ho3ScTe8, from Alexandria via LeMat-Bulk.

## Properties
Space-group type: C2/m, No. 12
Total magnetization: 0.00 μB/cell

Cell lengths 8.942, 8.942, 9.978 Å; angles 116.66, 116.66, 59.99 degrees
Element x y z (fractional)
Rb 0.000 0.000 0.000
Rb 0.000 0.500 0.000
Rb 0.500 0.000 0.000
Rb 0.500 0.500 0.000
Ho 0.000 0.000 0.500
Ho 0.000 0.500 0.500
Ho 0.500 0.000 0.500
Sc 0.500 0.500 0.500
Te 0.233 0.233 0.700
Te 0.241 0.727 0.695
Te 0.273 0.273 0.305
Te 0.273 0.759 0.305
Te 0.727 0.241 0.695
Te 0.727 0.727 0.695
Te 0.759 0.273 0.305
Te 0.767 0.767 0.300


[3]
The following is a PBE calculation of an optimized crystal structure of RbHoSe2, from Alexandria via LeMat-Bulk.

## Properties
N(E_F): 0.00 states/eV/atom
Space-group type: R-3m, No. 166
Total magnetization: 0.00 μB/cell

Cell lengths 4.226, 4.226, 23.967 Å; angles 90.00, 90.00, 120.00 degrees
Element x y z (fractional)
Rb 0.000 0.000 0.000
Rb 0.333 0.667 0.667
Rb 0.667 0.333 0.333
Ho 0.000 0.000 0.500
Ho 0.333 0.667 0.167
Ho 0.667 0.333 0.833
Se 0.000 0.000 0.232
Se 0.000 0.000 0.768
Se 0.333 0.667 0.435
Se 0.333 0.667 0.898
Se 0.667 0.333 0.102
Se 0.667 0.333 0.565


[4]
The following is a PBE calculation of an optimized crystal structure of RbHoSe, from Alexandria via LeMat-Bulk.

## Properties
N(E_F): 0.49 states/eV/atom
Space-group type: P4/nmm, No. 129
Total magnetization: 0.00 μB/cell

Cell lengths 4.946, 4.946, 11.360 Å; angles 90.00, 90.00, 90.00 degrees
Element x y z (fractional)
Rb 0.250 0.250 0.171
Rb 0.750 0.750 0.829
Ho 0.250 0.750 0.500
Ho 0.750 0.250 0.500
Se 0.250 0.250 0.619
Se 0.750 0.750 0.381


[5]
The following is a PBE calculation of an optimized crystal structure of RbHo2Se3, from Alexandria via LeMat-Bulk.

## Properties
N(E_F): 0.56 states/eV/atom
Space-group type: Cmcm, No. 63
Total magnetization: 0.00 μB/cell

Cell lengths 8.288, 8.288, 11.191 Å; angles 90.00, 90.00, 148.72 degrees
Element x y z (fractional)
Rb 0.236 0.764 0.750
Rb 0.764 0.236 0.250
Ho 0.035 0.965 0.250
Ho 0.500 0.500 0.000
Ho 0.500 0.500 0.500
Ho 0.965 0.035 0.750
Se 0.120 0.880 0.042
Se 0.120 0.880 0.458
Se 0.439 0.561 0.250
Se 0.561 0.439 0.750
Se 0.880 0.120 0.542
Se 0.880 0.120 0.958


[6]
The following is a PBE calculation of an optimized crystal structure of RbHoSe2, from Alexandria via LeMat-Bulk.

## Properties
N(E_F): 0.00 states/eV/atom
Space-group type: R3m, No. 160
Total magnetization: 0.00 μB/cell

Cell lengths 4.207, 4.207, 24.304 Å; angles 90.00, 90.00, 120.00 degrees
Element x y z (fractional)
Rb 0.000 0.000 0.000
Rb 0.333 0.667 0.667
Rb 0.667 0.333 0.333
Ho 0.000 0.000 0.169
Ho 0.333 0.667 0.836
Ho 0.667 0.333 0.502
Se 0.000 0.000 0.567
Se 0.000 0.000 0.771
Se 0.333 0.667 0.234
Se 0.333 0.667 0.438
Se 0.667 0.333 0.104
Se 0.667 0.333 0.900


Number 1: formation energy from raw total energies -1.21 eV per atom, calculated volume 38.764 A^3/atom. Number 2: formation energy from raw total energies -1.34 eV per atom, calculated volume 36.938 A^3/atom. Number 3: formation energy from raw total energies -1.74 eV per atom, calculated volume 30.892 A^3/atom. Number 4: formation energy from raw total energies -0.90 eV per atom, calculated volume 46.324 A^3/atom. Number 5: formation energy from raw total energies -1.53 eV per atom, calculated volume 33.257 A^3/atom. Number 6: formation energy from raw total energies -1.72 eV per atom, calculated volume 31.045 A^3/atom.